(1)
VASP calculation (PBE) on a relaxed KRb2HgI6 crystal.

a b c (Å): 9.0140 9.0140 9.0140
angles (deg): 123.79 123.79 83.55
Fractional positions:
K 0.0000 0.0000 0.0000
Rb 0.2500 0.7500 0.5000
Rb 0.7500 0.2500 0.5000
Hg 0.5000 0.5000 0.0000
I 0.1743 0.6173 0.7916
I 0.2613 0.2613 0.0000
I 0.3827 0.1743 0.5570
I 0.6173 0.8257 0.4430
I 0.7387 0.7387 0.0000
I 0.8257 0.3827 0.2084

## Properties
The total energy is -2.125 eV per atom. Its space group is I4/m (87).


(2)
VASP calculation (PBE) on a relaxed CsReSb crystal.

a b c (Å): 7.7075 7.7075 7.7075
angles (deg): 90.00 90.00 90.00
Fractional positions:
Cs 0.0000 0.0000 0.0000
Cs 0.0000 0.5000 0.5000
Cs 0.5000 0.0000 0.5000
Cs 0.5000 0.5000 0.0000
Re 0.0000 0.0000 0.5000
Re 0.0000 0.5000 0.0000
Re 0.5000 0.0000 0.0000
Re 0.5000 0.5000 0.5000
Sb 0.2500 0.2500 0.2500
Sb 0.2500 0.7500 0.7500
Sb 0.7500 0.2500 0.7500
Sb 0.7500 0.7500 0.2500

## Properties
The total energy is -3.974 eV per atom. Its space group is F-43m (216).


(3)
VASP calculation (PBE) on a relaxed TbGdCd6 crystal.

a b c (Å): 6.5691 6.5691 4.9664
angles (deg): 90.00 90.00 120.00
Fractional positions:
Tb 0.0000 0.0000 0.0000
Gd 0.6667 0.3333 0.5000
Cd 0.0092 0.5046 0.0000
Cd 0.1711 0.3423 0.5000
Cd 0.1711 0.8289 0.5000
Cd 0.4954 0.5046 0.0000
Cd 0.4954 0.9908 0.0000
Cd 0.6577 0.8289 0.5000

## Properties
The value obtained for the energy relative to the elements is -28.9 kJ per mole of atoms. The total energy is -2.131 eV per atom. Its space group is P-6m2 (187).